Record 1
A plane-wave DFT calculation with GGA-PBEsol was carried out for crystalline NaSb2TeW at its relaxed geometry.

The calculation puts the raw formation energy at 405 meV/atom.

```
5
Lattice="-0.4092 3.7722 -3.5958 -4.9972 -1.3075 -0.8030 -1.5496 3.5361 3.8859" Properties=species:S:1:pos:R:3 pbc="T T T"
Te -0.7748 1.7681 1.9430
W 0.0000 0.0000 0.0000
Sb -0.2046 1.8861 -1.7979
Sb -2.4986 -0.6537 -0.4015
Na -3.4780 3.0004 -0.2564
```



Record 2
A plane-wave DFT calculation with GGA-PBEsol was carried out for crystalline Sr2CdRh at its relaxed geometry.

The formation energy comes out at 0.02 eV/atom.

```
4
Lattice="3.5152 0.0000 0.0000 -1.7576 3.9051 0.2752 0.0000 -1.9413 8.3869" Properties=species:S:1:pos:R:3 pbc="T T T"
Cd 0.0000 -0.9706 4.1935
Rh 1.7576 0.0000 0.0000
Sr 1.7576 0.4818 6.8374
Sr 0.0000 1.4820 1.8247
```



Record 3
A plane-wave DFT calculation with GGA-PBEsol was carried out for crystalline ScAl2As at its relaxed geometry.

The formation energy comes out at -0.28 eV/atom.

```
4
Lattice="-0.8932 -2.7979 -1.8581 0.3401 -1.9889 2.8297 -5.6421 0.9210 1.3254" Properties=species:S:1:pos:R:3 pbc="T T T"
Al -4.1009 0.6694 0.9633
Al -1.5412 0.2516 0.3620
As -3.0976 -1.9329 1.1485
Sc -0.2766 -2.3934 0.4858
```



Record 4
A plane-wave DFT calculation with GGA-PBEsol was carried out for crystalline LaHg2Au at its relaxed geometry.

The formation energy comes out at -0.44 eV/atom.

```
4
Lattice="3.7353 0.0000 -0.0561 0.0000 4.1737 0.0000 -1.7376 0.0000 6.4003" Properties=species:S:1:pos:R:3 pbc="T T T"
La -0.6363 0.0000 3.4114
Hg 1.2043 2.0869 1.4133
Hg 3.0489 0.0000 0.0724
Au 1.2473 2.0869 4.5912
```



Record 5
A plane-wave DFT calculation with GGA-PBEsol was carried out for crystalline TaHg2Cl at its relaxed geometry.

As for the energy above the most stable polymorph in this dataset: 31.78 kJ per mole of atoms. The calculation puts the raw formation energy at 390 meV/atom.

```
4
Lattice="-1.7884 -1.7007 -1.7420 2.1807 -3.8894 1.5583 -3.5764 -0.3840 4.0464" Properties=species:S:1:pos:R:3 pbc="T T T"
Hg 0.1962 -2.7951 -0.0919
Hg 0.0000 0.0000 0.0000
Cl -0.6978 -2.1367 2.8024
Ta -2.6824 -1.0423 1.1522
```



Record 6
A plane-wave DFT calculation with GGA-PBEsol was carried out for crystalline SrY3Co at its relaxed geometry.

The formation energy comes out at -0.02 eV/atom.

```
5
Lattice="-4.0946 -1.4597 -3.0618 -2.8982 -0.9879 4.3468 -1.7622 5.0164 -0.0349" Properties=species:S:1:pos:R:3 pbc="T T T"
Sr -4.3775 1.2844 0.6251
Y -2.0473 -0.7298 -1.5309
Y -0.8811 2.5082 -0.0174
Y -1.4491 -0.4939 2.1734
Co 0.0000 0.0000 0.0000
```



Record 7
A plane-wave DFT calculation with GGA-PBEsol was carried out for crystalline K2CrAs at its relaxed geometry.

The formation energy comes out at 0.15 eV/atom.

```
4
Lattice="4.6421 0.0000 0.0000 0.0000 5.4484 0.0000 0.0000 -2.7242 5.4683" Properties=species:S:1:pos:R:3 pbc="T T T"
K 2.3211 0.0000 3.0123
K 0.0000 2.7242 5.1141
Cr 2.3211 2.7242 1.0750
As 0.0000 2.7242 1.6832
```



Record 8
A plane-wave DFT calculation with GGA-PBEsol was carried out for crystalline Li3Cr3NiO8 at its relaxed geometry.

The calculation puts the raw formation energy at -1820 meV/atom.

```
15
Lattice="-3.0653 1.6321 4.5680 -3.9048 -3.5505 2.2523 0.9806 -2.4552 5.1393" Properties=species:S:1:pos:R:3 pbc="T T T"
Cr -1.9524 -1.7752 1.1261
Cr -1.5327 0.8161 2.2840
Cr -3.4851 -0.9592 3.4101
Ni 0.0000 0.0000 0.0000
O -5.1155 -1.9931 6.3151
O -1.5756 -1.0504 2.9221
O -2.8541 -4.1809 6.7867
O -0.8740 -2.3805 5.6445
O -4.4139 -3.3232 9.0375
O -2.4284 -1.5529 7.9609
O -3.1354 -0.1926 5.1729
O -3.5611 -2.8207 3.9987
Li 0.4903 -1.2276 2.5697
Li -1.4621 -3.0028 3.6958
Li -1.0424 -0.4115 4.8537
```



Record 9
A plane-wave DFT calculation with GGA-PBEsol was carried out for crystalline Hf2CuMoW at its relaxed geometry.

The formation energy comes out at 1.67 eV/atom.

```
5
Lattice="4.5928 0.0000 0.0000 0.0000 4.8499 0.0000 0.0000 0.0000 4.8499" Properties=species:S:1:pos:R:3 pbc="T T T"
Mo 2.2964 2.4250 2.4250
W 0.0000 0.0000 0.0000
Hf 0.0000 2.4250 0.0000
Hf 0.0000 0.0000 2.4250
Cu 2.2964 0.0000 0.0000
```



Record 10
A plane-wave DFT calculation with GGA-PBEsol was carried out for crystalline Li2PdAu at its relaxed geometry.

The formation energy comes out at -0.46 eV/atom.

```
4
Lattice="4.2148 0.0000 0.0000 2.1074 3.6501 0.0000 2.1074 1.2167 3.4413" Properties=species:S:1:pos:R:3 pbc="T T T"
Li 6.3221 3.6501 2.5810
Li 2.1074 1.2167 0.8603
Au 4.2148 2.4334 1.7207
Pd 0.0000 0.0000 0.0000
```



Record 11
A plane-wave DFT calculation with GGA-PBEsol was carried out for crystalline RbMnIrBr2 at its relaxed geometry.

The calculation puts the raw formation energy at 1852 meV/atom.

```
5
Lattice="-3.9382 -3.9853 -2.0855 -1.8309 -1.1115 5.5816 -4.1042 4.3110 -0.4878" Properties=species:S:1:pos:R:3 pbc="T T T"
Br -0.9155 -0.5557 2.7908
Br -1.9691 -1.9926 -1.0427
Mn -2.0521 2.1555 -0.2439
Ir -4.9367 -0.3929 1.5041
Rb 0.0000 0.0000 0.0000
```



Record 12
A plane-wave DFT calculation with GGA-PBEsol was carried out for crystalline LiYZn2 at its relaxed geometry.

The formation energy comes out at -0.26 eV/atom.

```
4
Lattice="4.5899 0.0000 0.0000 2.2950 3.9750 0.0000 2.2950 1.3250 3.7476" Properties=species:S:1:pos:R:3 pbc="T T T"
Zn 6.8849 3.9750 2.8107
Zn 0.0000 0.0000 0.0000
Li 4.5899 2.6500 1.8738
Y 2.2950 1.3250 0.9369
```



| no. | size of the total moment (μB per cell) |
| --- | --- |
| 1 | 0.00 |
| 2 | 0.00 |
| 3 | 0.00 |
| 4 | 0.00 |
| 5 | 0.00 |
| 6 | 0.00 |
| 7 | 4.63 |
| 8 | 8.08 |
| 9 | 2.03 |
| 10 | 0.00 |
| 11 | 8.95 |
| 12 | 0.00 |